## w
First-principles (PBE) data for a relaxed Ta2Ni2Au crystal, as listed in Alexandria.

The space group is P4/mbm (No. 127) and the conventional cell measures 6.830, 6.830 and 3.234 Å, with angles of 90.00, 90.00 and 90.00 degrees. The asymmetric unit holds Ta at (0.170, 0.330, 0.000), Ni at (0.126, 0.626, 0.500) and Au at (0.000, 0.000, 0.500).

## x
First-principles (PBE) data for a relaxed Ta2Ni2Au crystal, as listed in Alexandria.

The space group is P4/mbm (No. 127) and the conventional cell measures 7.634, 7.634 and 2.713 Å, with angles of 90.00, 90.00 and 90.00 degrees. The asymmetric unit holds Ta at (0.131, 0.369, 0.000), Ni at (0.164, 0.664, 0.500) and Au at (0.000, 0.000, 0.000).

Most stable structure among those shown: w.